PBE-GGA LuBePd2, relaxed; space group = P4/mmm, No. 123; calculated total energy = -21.10 eV for the cell shown; polymorph energy (0 for the lowest one) = 0 meV/atom; DFT formation energy = -618 meV per atom
1.0
3.148 0.000 0.000
0.000 3.148 0.000
0.000 0.000 6.371
Pd Be Lu
2 1 1
direct
0.000 0.000 0.790
0.000 0.000 0.210
0.500 0.500 0.000
0.500 0.500 0.500

=====

PBE-GGA LuBePd3, relaxed; space group = Pm-3m, No. 221; calculated total energy = -27.33 eV for the cell shown; DFT formation energy = -701 meV per atom
1.0
4.326 0.000 0.000
0.000 4.326 0.000
0.000 0.000 4.326
Pd Be Lu
3 1 1
direct
0.500 0.000 0.000
0.000 0.000 0.500
0.000 0.500 0.000
0.000 0.000 0.000
0.500 0.500 0.500

=====

PBE-GGA LuBe4Pd, relaxed; space group = F-43m, No. 216; calculated total energy = -26.10 eV for the cell shown; DFT formation energy = -247 meV per atom
1.0
-2.260 -2.168 -3.470
-3.171 -3.293 0.975
-4.541 0.843 -0.717
Lu Be Pd
1 4 1
direct
0.250 0.250 0.250
0.119 0.627 0.627
0.627 0.119 0.627
0.627 0.627 0.119
0.627 0.627 0.627
0.000 0.000 0.000

=====

PBE-GGA LuBePd2, relaxed; space group = Fm-3m, No. 225; calculated total energy = -20.97 eV for the cell shown; polymorph energy (0 for the lowest one) = 33 meV/atom; DFT formation energy = -585 meV per atom
1.0
4.512 0.000 0.000
2.256 3.907 0.000
2.256 1.302 3.684
Pd Lu Be
2 1 1
direct
0.250 0.250 0.250
0.750 0.750 0.750
0.000 0.000 0.000
0.500 0.500 0.500

=====

PBE-GGA Lu2BePd, relaxed; space group = P4/mmm, No. 123; calculated total energy = -19.84 eV for the cell shown; polymorph energy (0 for the lowest one) = 0 meV/atom; DFT formation energy = -470 meV per atom
1.0
3.396 0.000 0.000
0.000 3.396 0.000
0.000 0.000 6.709
Lu Pd Be
2 1 1
direct
0.000 0.000 0.757
0.000 0.000 0.243
0.500 0.500 0.500
0.500 0.500 0.000

=====

PBE-GGA LuBePd, relaxed; space group = P-6m2, No. 187; calculated total energy = -15.13 eV for the cell shown; DFT formation energy = -562 meV per atom
1.0
-0.703 -2.546 2.573
-0.526 -2.780 -2.895
3.674 0.593 1.592
Lu Be Pd
1 1 1
direct
0.667 0.333 0.667
0.167 0.667 0.333
0.166 0.000 0.000

=====

PBE-GGA LuBePdRh, relaxed; space group = F-43m, No. 216; calculated total energy = -23.22 eV for the cell shown; DFT formation energy = -608 meV per atom
1.0
-2.154 -2.772 -2.726
1.680 -4.024 -0.859
-1.980 -3.629 1.632
Pd Lu Be Rh
1 1 1 1
direct
0.000 0.000 0.000
0.250 0.250 0.250
0.750 0.750 0.750
0.500 0.500 0.500

=====

PBE-GGA LuScBePd, relaxed; space group = F-43m, No. 216; calculated total energy = -21.42 eV for the cell shown; DFT formation energy = -413 meV per atom
1.0
4.718 0.000 0.000
2.359 4.086 0.000
2.359 1.362 3.852
Be Pd Sc Lu
1 1 1 1
direct
0.250 0.250 0.250
0.750 0.750 0.750
0.000 0.000 0.000
0.500 0.500 0.500

=====

PBE-GGA SmLuBePd, relaxed; space group = F-43m, No. 216; calculated total energy = -19.50 eV for the cell shown; DFT formation energy = -335 meV per atom
1.0
4.920 0.000 0.000
2.460 4.261 0.000
2.460 1.420 4.017
Sm Pd Lu Be
1 1 1 1
direct
0.750 0.750 0.750
0.000 0.000 0.000
0.250 0.250 0.250
0.500 0.500 0.500

=====

PBE-GGA TbLuBePd, relaxed; space group = F-43m, No. 216; calculated total energy = -19.58 eV for the cell shown; DFT formation energy = -378 meV per atom
1.0
4.875 0.000 0.000
2.438 4.222 0.000
2.438 1.407 3.981
Lu Tb Pd Be
1 1 1 1
direct
0.750 0.750 0.750
0.250 0.250 0.250
0.000 0.000 0.000
0.500 0.500 0.500

=====

PBE-GGA TmLuBePd, relaxed; space group = F-43m, No. 216; calculated total energy = -19.57 eV for the cell shown; DFT formation energy = -415 meV per atom
1.0
4.829 0.000 0.000
2.415 4.182 0.000
2.415 1.394 3.943
Tm Be Pd Lu
1 1 1 1
direct
0.750 0.750 0.750
0.000 0.000 0.000
0.500 0.500 0.500
0.250 0.250 0.250

=====

PBE-GGA PmLuBe4, relaxed; space group = F-43m, No. 216; calculated total energy = -23.49 eV for the cell shown; DFT formation energy = 114 meV per atom
1.0
-1.768 3.884 2.674
-4.967 0.648 0.517
-2.194 -0.805 4.461
Be Pm Lu
4 1 1
direct
0.625 0.625 0.124
0.124 0.625 0.625
0.625 0.124 0.625
0.625 0.625 0.625
0.000 0.000 0.000
0.250 0.250 0.250